Entry 1:
Compound: TlZn2Hg
Source: Alexandria via LeMat-Bulk
Functional: GGA-PBEsol
Structure: optimized geometry

## Properties
Total magnetization in μB per formula unit: 0.000
Formation energy in meV per atom: 132
Volume in Å³ per atom: 20.380

Cell lengths 3.3078, 3.3078, 8.8124 Å; angles 79.18, 79.18, 60.00 degrees
With the nearest neighbours (Å) after each atom.
Fractional positions:
1 Hg 0.4895 0.4895 0.5314  3 Zn 2.79
2 Zn 0.7442 0.7442 0.7674  3 Zn 2.58, 3 Hg 2.79
3 Zn 0.0105 0.0105 0.9684  3 Zn 2.58
4 Tl 0.2558 0.2558 0.2327  3 Zn 2.97, 3 Hg 3.20, 6 Tl 3.31

***

Entry 2:
Compound: Tl2ZnHg
Source: Alexandria via LeMat-Bulk
Functional: GGA-PBEsol
Structure: optimized geometry

## Properties
Total magnetization in μB per formula unit: 0.000
Formation energy in meV per atom: 88
Volume in Å³ per atom: 23.904
Energy above the most stable polymorph in this dataset in eV/atom: 0.0184

Cell lengths 3.4700, 5.3367, 6.0655 Å; angles 116.10, 106.62, 90.00 degrees
With the nearest neighbours (Å) after each atom.
Fractional positions:
1 Tl 0.9924 0.9924 0.9848  4 Zn 3.19, 4 Hg 3.32-3.54, 6 Tl 3.43-3.47
2 Tl 0.7788 0.2788 0.5576  2 Zn 2.96, 4 Hg 3.24
3 Hg 0.2179 0.7179 0.4358  2 Zn 2.75
4 Zn 0.5109 0.5109 0.0218  2 Hg 2.75, 2 Tl 2.96

***

Entry 3:
Compound: ZrTlZn2Hg
Source: Alexandria via LeMat-Bulk
Functional: GGA-PBEsol
Structure: optimized geometry

## Properties
Total magnetization in μB per formula unit: 0.000
Formation energy in meV per atom: 897
Volume in Å³ per atom: 30.465

Cell lengths 5.1766, 5.1766, 5.6844 Å; angles 90.00, 90.00, 90.00 degrees
With the nearest neighbours (Å) after each atom.
Fractional positions:
1 Hg 0.5000 0.5000 0.5000  4 Tl 3.66, 8 Zn 3.84
2 Tl 0.0000 0.0000 0.5000  2 Zr 2.84
3 Zn 0.0000 0.5000 0.0000  2 Zr 2.59
4 Zn 0.5000 0.0000 0.0000  2 Zr 2.59
5 Zr 0.0000 0.0000 0.0000  4 Zn 2.59, 2 Tl 2.84